The following is a DFT calculation (GGA+U) of a relaxed CaVBiO5 crystal.

```
CaVBiO5
1.0
-1.365 1.632 -5.427
-6.869 -0.944 4.671
0.652 11.393 3.262
O Bi V Ca
20 4 4 4
direct
0.742 0.513 0.525
0.477 0.612 0.181
0.977 0.112 0.319
0.574 0.826 0.558
0.186 0.500 0.725
0.242 0.013 0.975
0.941 0.168 0.574
0.758 0.987 0.025
0.426 0.174 0.442
0.441 0.668 0.926
0.523 0.388 0.819
0.059 0.832 0.426
0.023 0.888 0.681
0.686 0.000 0.775
0.314 0.000 0.225
0.814 0.500 0.275
0.074 0.326 0.942
0.559 0.332 0.074
0.926 0.674 0.058
0.258 0.487 0.475
0.869 0.833 0.907
0.131 0.167 0.093
0.369 0.333 0.593
0.631 0.667 0.407
0.804 0.972 0.645
0.304 0.472 0.855
0.196 0.028 0.355
0.696 0.528 0.145
0.141 0.688 0.587
0.859 0.312 0.413
0.359 0.812 0.087
0.641 0.188 0.913
```

Crystal system: monoclinic
Calculated density, g/cm³: 4.68
ΔE to the lowest computed polymorph, meV per atom: 8.8